[1]
Entry from Alexandria: a geometry-optimized SiTc2Ru structure (GGA-PBEsol).

Cell and atoms, written as CIF:
```
data_SiTc2Ru
_cell_length_a 2.855
_cell_length_b 2.855
_cell_length_c 6.440
_cell_angle_alpha 90.00
_cell_angle_beta 90.00
_cell_angle_gamma 90.00
_symmetry_space_group_name_H-M 'P 1'
_symmetry_Int_Tables_number 1
loop_
_symmetry_equiv_pos_as_xyz
'x,y,z'
loop_
_atom_site_label
_atom_site_type_symbol
_atom_site_fract_x
_atom_site_fract_y
_atom_site_fract_z
Si1 Si 0.500 0.500 0.745
Ru1 Ru 0.000 0.000 0.527
Tc1 Tc 0.000 0.000 0.980
Tc2 Tc 0.500 0.500 0.247
```

Results
Uncorrected formation energy   -314 meV/atom
Space-group type   No. 99

---

[2]
Entry from Alexandria: a geometry-optimized TcRuSe structure (GGA-PBEsol).

Cell and atoms, written as CIF:
```
data_TcRuSe
_cell_length_a 2.924
_cell_length_b 2.924
_cell_length_c 5.418
_cell_angle_alpha 105.65
_cell_angle_beta 105.65
_cell_angle_gamma 90.00
_symmetry_space_group_name_H-M 'P 1'
_symmetry_Int_Tables_number 1
loop_
_symmetry_equiv_pos_as_xyz
'x,y,z'
loop_
_atom_site_label
_atom_site_type_symbol
_atom_site_fract_x
_atom_site_fract_y
_atom_site_fract_z
Tc1 Tc 0.334 0.334 0.667
Se1 Se 0.671 0.671 0.341
Ru1 Ru 0.996 0.996 0.992
```

Results
Uncorrected formation energy   117 meV/atom
Space-group type   No. 107

---

[3]
Entry from Alexandria: a geometry-optimized CsZr2Al structure (GGA-PBEsol).

Cell and atoms, written as CIF:
```
data_CsZr2Al
_cell_length_a 4.734
_cell_length_b 4.734
_cell_length_c 10.894
_cell_angle_alpha 102.55
_cell_angle_beta 102.55
_cell_angle_gamma 90.00
_symmetry_space_group_name_H-M 'P 1'
_symmetry_Int_Tables_number 1
loop_
_symmetry_equiv_pos_as_xyz
'x,y,z'
loop_
_atom_site_label
_atom_site_type_symbol
_atom_site_fract_x
_atom_site_fract_y
_atom_site_fract_z
Cs1 Cs 0.250 0.750 0.500
Zr1 Zr 0.764 0.875 0.250
Zr2 Zr 0.625 0.236 0.750
Zr3 Zr 0.125 0.514 0.750
Cs2 Cs 0.000 0.000 0.000
Al1 Al 0.750 0.250 0.500
Zr4 Zr 0.486 0.375 0.250
Al2 Al 0.500 0.500 0.000
```

Results
Space-group type   No. 122
ΔE_f   1071 meV/atom